Below is a relaxed structure of Sm5Cu2Ag, with properties calculated at the PBE-GGA level.

Calculated values
Its space group is I4/mcm. For the volume, the calculation gives 26.15 Å³/atom. As for the crystal system: tetragonal. The value obtained for the calculated total energy is -35.694 eV/f.u. The value obtained for the density of states at the Fermi level is 10.1 states/eV/f.u.

a b c (Å): 8.5791 8.5791 8.5791
angles (deg): 123.74 123.74 83.64
Last column: nearest neighbours and their distance in Å.
Atoms (fractional coordinates):
Sm1 0.0000 0.0000 0.0000  2 Ag 3.20, 4 Cu 3.20, 8 Sm 3.55
Sm2 0.0150 0.5150 0.8161  3 Cu 2.94-3.10
Sm3 0.1989 0.0150 0.5000  3 Cu 2.94-3.10
Sm4 0.3011 0.8011 0.8161  3 Cu 2.94-3.10
Sm5 0.4850 0.3011 0.5000  3 Cu 2.94-3.10
Sm6 0.5000 0.5000 0.0000  2 Ag 3.20, 4 Cu 3.20, 8 Sm 3.55
Sm7 0.5150 0.6989 0.5000  3 Cu 2.94-3.10
Sm8 0.6989 0.1989 0.1839  3 Cu 2.94-3.10
Sm9 0.8011 0.9850 0.5000  3 Cu 2.94-3.10
Sm10 0.9850 0.4850 0.1839  3 Cu 2.94-3.10
Cu1 0.1237 0.3763 0.5000  1 Cu 2.83, 6 Sm 2.94-3.10
Cu2 0.3763 0.8763 0.2526  1 Cu 2.83, 6 Sm 2.94-3.10
Cu3 0.6237 0.1237 0.7474  1 Cu 2.83, 6 Sm 2.94-3.10
Cu4 0.8763 0.6237 0.5000  1 Cu 2.83, 6 Sm 2.94-3.10
Ag1 0.2500 0.2500 0.0000  10 Sm 3.20-3.34
Ag2 0.7500 0.7500 0.0000  10 Sm 3.20-3.34